Entry 1:
The following is a PBE calculation of a relaxed LiY2TiFe crystal, from the Alexandria database.

Unit cell a=5.3459 b=4.4026 c=5.3459 alpha=90.00 beta=90.00 gamma=90.00
Element x y z (fractional)
Ti (0.0000, 0.5000, 0.0000)
Li (0.5000, 0.5000, 0.5000)
Fe (0.0000, 0.0000, 0.0000)
Y (0.5000, 0.0000, 0.0000)
Y (0.0000, 0.0000, 0.5000)

Calculated values
M_tot   0.0 μB/f.u.
Formation energy   0.200 eV/atom
Calculated total energy   -6.04 eV per atom

Entry 2:
The following is a PBE calculation of a relaxed NaCa2Se crystal, from the Alexandria database.

Unit cell a=4.0479 b=4.0479 c=10.1420 alpha=78.49 beta=78.49 gamma=60.00
Element x y z (fractional)
Ca (0.0603, 0.0603, 0.8192)
Ca (0.2732, 0.2732, 0.1804)
Se (0.6666, 0.6666, 0.0003)
Na (0.5000, 0.5000, 0.5001)

Calculated values
Formation energy (no corrections)   -0.874 eV/atom
M_tot   0.3 μB/f.u.
Calculated total energy   -3.08 eV per atom

Entry 3:
The following is a PBE calculation of a relaxed Zr2CrHRh crystal, from the Alexandria database.

Unit cell a=4.6021 b=4.6021 c=3.3865 alpha=90.00 beta=90.00 gamma=90.00
Element x y z (fractional)
Zr (0.0000, 0.5000, 0.0000)
Zr (0.5000, 0.0000, 0.0000)
Rh (0.5000, 0.5000, 0.5000)
H (0.0000, 0.0000, 0.0000)
Cr (0.0000, 0.0000, 0.5000)

Calculated values
M_tot   0.0 μB/f.u.
Calculated total energy   -7.83 eV per atom
Energy relative to the lowest polymorph listed for this composition   0 meV per atom

Question: Which value of M_tot does entry 1 give?
Answer: 0.0 μB/f.u.

Repeat the first record exactly.
The following is a PBE calculation of a relaxed LiY2TiFe crystal, from the Alexandria database.

Unit cell a=5.3459 b=4.4026 c=5.3459 alpha=90.00 beta=90.00 gamma=90.00
Element x y z (fractional)
Ti (0.0000, 0.5000, 0.0000)
Li (0.5000, 0.5000, 0.5000)
Fe (0.0000, 0.0000, 0.0000)
Y (0.5000, 0.0000, 0.0000)
Y (0.0000, 0.0000, 0.5000)

Calculated values
M_tot   0.0 μB/f.u.
Formation energy   0.200 eV/atom
Calculated total energy   -6.04 eV per atom